DFT (PBE-GGA) results for Zr2PaCrN4 after structural relaxation.

extended XYZ file:
```
16
Lattice="1.613 -5.577 0.000 1.613 5.577 0.000 0.000 0.000 11.035" Properties=species:S:1:pos:R:3 pbc="T T T"
Zr 1.613 4.119 6.090
Zr 1.613 4.119 10.463
Zr 1.613 -4.119 0.572
Zr 1.613 -4.119 4.946
Pa 1.613 1.201 8.277
Pa 1.613 -1.201 2.759
Cr 1.613 1.698 2.759
Cr 1.613 -1.698 8.277
N 1.613 5.045 8.277
N 1.613 3.051 1.370
N 1.613 3.051 4.148
N 1.613 0.000 0.000
N 1.613 0.000 5.518
N 1.613 -3.051 6.887
N 1.613 -3.051 9.666
N 1.613 -5.045 2.759
```

The calculation puts the total magnetic moment at 0.00 μB/f.u. The calculation puts the calculated total energy at -10.01 eV/atom. The value obtained for the formation energy without anion corrections is -1324 meV per atom.